SrSeSN2 | PBE-GGA | relaxed

**Space-group type**: P4/mmm, No. 123
**Density**: 2638 kg/m³
**Total magnetic moment**: 1.029 μB/atom
**Offset from the most stable computed form**: 1.130 eV per atom

a = 4.7511 Å, b = 4.7511 Å, c = 6.3206 Å
α = 90.00°, β = 90.00°, γ = 90.00°
Closest atoms and distances in Å follow each position.
Atoms (fractional coordinates):
N: 0.5000 0.0000 0.0000  2 Sr 2.38
Se: 0.0000 0.0000 0.5000  2 Sr 3.16, 4 S 3.36
N: 0.0000 0.5000 0.0000  2 Sr 2.38
Sr: 0.0000 0.0000 0.0000  4 N 2.38
S: 0.5000 0.5000 0.5000  4 Se 3.36